Entry 1:
A plane-wave DFT calculation with PBE was carried out for a geometry-optimized SmHo8Bi6 structure.

abc: 7.646 7.646 10.755
angles: 69.18 69.18 60.00
Positions (direct):
1 Sm 0.000 0.000 0.000
2 Ho 0.551 0.207 0.365
3 Ho 0.793 0.124 0.635
4 Ho 0.124 0.449 0.635
5 Ho 0.666 0.666 0.001
6 Ho 0.334 0.334 0.999
7 Ho 0.876 0.551 0.365
8 Ho 0.207 0.876 0.365
9 Ho 0.449 0.793 0.635
10 Bi 0.402 0.062 0.811
11 Bi 0.938 0.275 0.189
12 Bi 0.275 0.598 0.189
13 Bi 0.725 0.402 0.811
14 Bi 0.062 0.725 0.811
15 Bi 0.598 0.938 0.189

Output
Formation energy = -7.6 eV/f.u.
Crystal system = trigonal
Space group = R-3

Entry 2:
A plane-wave DFT calculation with PBE was carried out for a geometry-optimized K3Np2US6 structure.

abc: 7.046 7.046 7.746
angles: 98.72 98.72 120.00
Positions (direct):
1 K 0.167 0.833 0.500
2 K 0.833 0.167 0.500
3 K 0.500 0.500 0.500
4 Np 0.333 0.667 0.000
5 Np 0.667 0.333 0.000
6 U 0.000 0.000 0.000
7 S 0.933 0.602 0.798
8 S 0.737 0.737 0.202
9 S 0.067 0.398 0.202
10 S 0.602 0.933 0.798
11 S 0.263 0.263 0.798
12 S 0.398 0.067 0.202

Output
Crystal system = monoclinic
Uncorrected energy = -6.84 eV per atom
Space group = C2/m

Entry 3:
A plane-wave DFT calculation with PBE was carried out for a geometry-optimized ReAsRu2 structure.

abc: 4.351 4.351 4.351
angles: 60.00 60.00 60.00
Positions (direct):
1 Re 0.750 0.750 0.750
2 As 0.500 0.500 0.500
3 Ru 0.000 0.000 0.000
4 Ru 0.250 0.250 0.250

Output
Formation energy = 1.3 eV/f.u.
Crystal system = cubic
Space group = F-43m

Entry 4:
A plane-wave DFT calculation with PBE was carried out for a geometry-optimized Ba3Cl structure.

abc: 6.750 6.750 6.750
angles: 60.00 60.00 60.00
Positions (direct):
1 Ba 0.000 0.000 0.000
2 Ba 0.250 0.250 0.250
3 Ba 0.500 0.500 0.500
4 Cl 0.750 0.750 0.750

Output
Crystal system = cubic
ΔE to the lowest computed polymorph = 610 meV per atom
Space group = Fm-3m

Entry 5:
A plane-wave DFT calculation with PBE was carried out for a geometry-optimized As4Au2S structure.

abc: 4.756 4.756 8.488
angles: 73.73 73.73 90.00
Positions (direct):
1 As 0.747 0.747 0.507
2 As 0.253 0.253 0.493
3 As 0.000 0.500 0.000
4 As 0.500 0.000 0.000
5 Au 0.592 0.592 0.817
6 Au 0.408 0.408 0.183
7 S 0.000 0.000 0.000

Output
Crystal system = tetragonal
Uncorrected energy = -3.71 eV per atom
Space group = I4/mmm

Entry 6:
A plane-wave DFT calculation with PBE was carried out for a geometry-optimized TlMoPb structure.

abc: 5.081 5.081 3.076
angles: 90.00 90.00 120.00
Positions (direct):
1 Mo 0.000 0.000 0.166
2 Pb 0.333 0.667 0.167
3 Tl 0.667 0.333 0.667

Output
Formation energy = 2.7 eV/f.u.
Crystal system = hexagonal
ΔE to the lowest computed polymorph = 206 meV per atom
Space group = P-6m2

Respective ρ values: 9.11, 5.35, 13.21, 3.42, 6.84, 12.25 g/cm³.
Respective Fermi-level density of states values: 0.6323, 2.0665, 0.8730, 1.7983, 0.4669, 0.8287 states/eV/atom.